No. 1
Ca5Cd4Hg: relaxed, PBE-GGA.

Cell: 3.7916 3.7916 19.4805 Å, 90.00 90.00 90.00°
With the nearest neighbours (Å) after each atom.
Positions (direct):
Ca 0.5000 0.5000 0.0968  4 Hg 3.28, 4 Cd 3.34
Ca 0.5000 0.5000 0.2989  8 Cd 3.31-3.32
Ca 0.5000 0.5000 0.5000  8 Cd 3.32
Ca 0.5000 0.5000 0.7011  8 Cd 3.31-3.32
Ca 0.5000 0.5000 0.9032  4 Hg 3.28, 4 Cd 3.34
Cd 0.0000 0.0000 0.1989  8 Ca 3.31-3.34
Cd 0.0000 0.0000 0.3995  8 Ca 3.32
Cd 0.0000 0.0000 0.6005  8 Ca 3.32
Cd 0.0000 0.0000 0.8011  8 Ca 3.31-3.34
Hg 0.0000 0.0000 0.0000  8 Ca 3.28

Calculated values
theoretical density: 5.0 g/cm³
formation energy: -0.40 eV per atom
E: -1.793 eV/atom
crystal system: tetragonal

No. 2
Ca3Cd7Hg2: relaxed, PBE-GGA.

Cell: 5.9982 5.9982 10.4115 Å, 73.26 73.26 60.00°
With the nearest neighbours (Å) after each atom.
Positions (direct):
Ca 0.0000 0.0000 0.0000  6 Hg 3.46
Ca 0.8565 0.8565 0.4305  12 Cd 3.45-3.53, 3 Ca 3.72
Ca 0.1435 0.1435 0.5695  12 Cd 3.45-3.53, 3 Ca 3.72
Cd 0.5000 0.5000 0.5000  6 Cd 2.98
Cd 0.9217 0.4111 0.2562  5 Cd 2.94-3.06, 2 Hg 3.02-3.08
Cd 0.4111 0.9217 0.2562  5 Cd 2.94-3.06, 2 Hg 3.02-3.08
Cd 0.4111 0.4111 0.2562  5 Cd 2.94-3.06, 2 Hg 3.02-3.08
Cd 0.0783 0.5889 0.7438  5 Cd 2.94-3.06, 2 Hg 3.02-3.08
Cd 0.5889 0.5889 0.7438  5 Cd 2.94-3.06, 2 Hg 3.02-3.08
Cd 0.5889 0.0783 0.7438  5 Cd 2.94-3.06, 2 Hg 3.02-3.08
Hg 0.6646 0.6646 0.0063  6 Cd 3.02-3.08
Hg 0.3354 0.3354 0.9937  6 Cd 3.02-3.08

Calculated values
theoretical density: 7.1 g/cm³
formation energy: -0.26 eV per atom
E: -1.343 eV/atom
crystal system: trigonal

No. 3
CaCdHg: relaxed, PBE-GGA.

Cell: 4.9898 4.9898 3.6263 Å, 90.00 90.00 120.00°
With the nearest neighbours (Å) after each atom.
Positions (direct):
Ca 0.0000 0.0000 0.9998  6 Hg 3.40, 6 Cd 3.40, 2 Ca 3.63
Hg 0.3333 0.6667 0.5002  3 Cd 2.88
Cd 0.6667 0.3333 0.5000  3 Hg 2.88

Calculated values
theoretical density: 7.5 g/cm³
formation energy: -0.41 eV per atom
E: -1.483 eV/atom
crystal system: hexagonal

No. 4
Ca2Cd3Hg6: relaxed, PBE-GGA.

Cell: 4.4203 4.4203 15.5805 Å, 98.16 98.16 90.00°
With the nearest neighbours (Å) after each atom.
Positions (direct):
Ca 0.3311 0.3311 0.6622  1 Hg 3.12, 4 Cd 3.30
Ca 0.6689 0.6689 0.3378  1 Hg 3.12, 4 Cd 3.30
Cd 0.0000 0.0000 0.0000  8 Hg 3.01
Cd 0.8662 0.8662 0.7323  5 Hg 2.90-3.00
Cd 0.1338 0.1338 0.2677  5 Hg 2.90-3.00
Hg 0.0672 0.5672 0.1343  4 Cd 3.00-3.01, 4 Hg 3.13
Hg 0.5672 0.0672 0.1343  4 Cd 3.00-3.01, 4 Hg 3.13
Hg 0.9328 0.4328 0.8657  4 Cd 3.00-3.01, 4 Hg 3.13
Hg 0.4328 0.9328 0.8657  4 Cd 3.00-3.01, 4 Hg 3.13
Hg 0.7712 0.7712 0.5424  1 Cd 2.90, 1 Ca 3.12
Hg 0.2288 0.2288 0.4576  1 Cd 2.90, 1 Ca 3.12

Calculated values
ΔE to the lowest computed polymorph: 61 meV per atom
theoretical density: 9.0 g/cm³
formation energy: -0.16 eV per atom
E: -0.934 eV/atom
crystal system: tetragonal

No. 5
Ca2Cd5Hg5: relaxed, PBE-GGA.

Cell: 5.2399 5.7583 10.3062 Å, 90.00 90.00 90.00°
With the nearest neighbours (Å) after each atom.
Positions (direct):
Ca 0.0000 0.5000 0.0000  6 Hg 3.38-3.43
Ca 0.0000 0.0000 0.5000  6 Hg 3.35-3.39
Cd 0.5000 0.5000 0.5000  4 Cd 2.94, 4 Hg 3.13
Cd 0.5000 0.7505 0.2518  3 Cd 2.87-2.94, 5 Hg 2.97-3.11
Cd 0.5000 0.2495 0.7482  3 Cd 2.87-2.94, 5 Hg 2.97-3.11
Cd 0.5000 0.2495 0.2518  3 Cd 2.87-2.94, 5 Hg 2.97-3.11
Cd 0.5000 0.7505 0.7482  3 Cd 2.87-2.94, 5 Hg 2.97-3.11
Hg 0.0000 0.5000 0.3330  6 Cd 3.11-3.13, 3 Hg 3.33-3.44, 3 Ca 3.35-3.43
Hg 0.0000 0.0000 0.8291  4 Cd 3.10, 4 Hg 3.16-3.33, 3 Ca 3.38-3.39
Hg 0.0000 0.0000 0.1709  4 Cd 3.10, 4 Hg 3.16-3.33, 3 Ca 3.38-3.39
Hg 0.0000 0.5000 0.6670  6 Cd 3.11-3.13, 3 Hg 3.33-3.44, 3 Ca 3.35-3.43
Hg 0.5000 0.0000 0.0000  4 Cd 2.97, 4 Hg 3.16

Calculated values
theoretical density: 8.8 g/cm³
formation energy: -0.17 eV per atom
E: -1.011 eV/atom
crystal system: orthorhombic

No. 6
CaCd6Hg4: relaxed, PBE-GGA.

Cell: 3.9027 9.0411 9.0411 Å, 120.00 90.00 90.00°
With the nearest neighbours (Å) after each atom.
Positions (direct):
Ca 0.0000 0.0000 0.0000  6 Hg 3.36, 6 Cd 3.59
Cd 0.0000 0.5369 0.0739  5 Hg 3.01-3.19
Cd 0.5000 0.6153 0.8076  4 Hg 2.89-2.95
Cd 0.0000 0.5369 0.4631  5 Hg 3.01-3.19
Cd 0.0000 0.9261 0.4631  5 Hg 3.01-3.19
Cd 0.5000 0.1924 0.8076  4 Hg 2.89-2.95
Cd 0.5000 0.1924 0.3847  4 Hg 2.89-2.95
Hg 0.5000 0.8250 0.6500  6 Cd 2.89-3.01
Hg 0.5000 0.3500 0.1750  6 Cd 2.89-3.01
Hg 0.5000 0.8250 0.1750  6 Cd 2.89-3.01
Hg 0.0000 0.3333 0.6667  9 Cd 2.95-3.19

Calculated values
ΔE to the lowest computed polymorph: 0 meV per atom
theoretical density: 9.1 g/cm³
formation energy: -0.10 eV per atom
E: -0.889 eV/atom
crystal system: hexagonal

No. 7
Ca2Cd2Hg: relaxed, PBE-GGA.

Cell: 4.0463 4.0463 9.5410 Å, 77.76 77.76 90.00°
With the nearest neighbours (Å) after each atom.
Positions (direct):
Ca 0.4026 0.4026 0.1948  4 Hg 3.37, 4 Cd 3.44, 1 Ca 3.55
Ca 0.5974 0.5974 0.8052  4 Hg 3.37, 4 Cd 3.44, 1 Ca 3.55
Hg 0.0000 0.0000 0.0000  8 Ca 3.37
Cd 0.7500 0.2500 0.5000  4 Cd 2.86
Cd 0.2500 0.7500 0.5000  4 Cd 2.86

Calculated values
ΔE to the lowest computed polymorph: 125 meV per atom
theoretical density: 5.6 g/cm³
formation energy: -0.24 eV per atom
E: -1.468 eV/atom
crystal system: tetragonal

No. 8
CaCd8Hg2: relaxed, PBE-GGA.

Cell: 5.3303 5.9517 9.1112 Å, 109.06 94.32 90.00°
With the nearest neighbours (Å) after each atom.
Positions (direct):
Ca 0.0000 0.0000 0.0000  14 Cd 3.24-3.43
Cd 0.5226 0.3388 0.1820  6 Cd 2.95-3.25, 2 Hg 3.16-3.25
Cd 0.4774 0.1567 0.8180  6 Cd 2.95-3.25, 2 Hg 3.16-3.25
Cd 0.8977 0.8121 0.6243  2 Hg 2.87-2.99
Cd 0.1023 0.1879 0.3757  2 Hg 2.87-2.99
Cd 0.5226 0.8433 0.1820  6 Cd 2.95-3.25, 2 Hg 3.16-3.25
Cd 0.4774 0.6612 0.8180  6 Cd 2.95-3.25, 2 Hg 3.16-3.25
Cd 0.0085 0.5956 0.1912  5 Cd 2.99-3.29, 1 Hg 3.03
Cd 0.9915 0.4044 0.8088  5 Cd 2.99-3.29, 1 Hg 3.03
Hg 0.3681 0.7412 0.4825  5 Cd 2.87-3.16
Hg 0.6319 0.2588 0.5175  5 Cd 2.87-3.16

Calculated values
ΔE to the lowest computed polymorph: 0 meV per atom
theoretical density: 8.2 g/cm³
formation energy: -0.07 eV per atom
E: -0.968 eV/atom
crystal system: monoclinic

No. 9
Ca2Cd3Hg5: relaxed, PBE-GGA.

Cell: 6.3326 9.6934 9.6934 Å, 87.06 70.93 70.93°
With the nearest neighbours (Å) after each atom.
Positions (direct):
Ca 0.1267 0.6187 0.1279  4 Hg 3.31-3.47, 4 Cd 3.43-3.52
Ca 0.6267 0.1279 0.6187  4 Hg 3.31-3.47, 4 Cd 3.43-3.52
Ca 0.8733 0.3813 0.8721  4 Hg 3.31-3.47, 4 Cd 3.43-3.52
Ca 0.3733 0.8721 0.3813  4 Hg 3.31-3.47, 4 Cd 3.43-3.52
Cd 0.3704 0.4907 0.7685  5 Hg 2.77-2.93
Cd 0.8704 0.7685 0.4907  5 Hg 2.77-2.93
Cd 0.6296 0.5093 0.2315  5 Hg 2.77-2.93
Cd 0.1296 0.2315 0.5093  5 Hg 2.77-2.93
Cd 0.2500 0.0000 0.0000  6 Hg 2.96-3.03, 2 Cd 3.17
Cd 0.7500 0.0000 0.0000  6 Hg 2.96-3.03, 2 Cd 3.17
Hg 0.3859 0.2680 0.9602  3 Cd 2.77-2.96, 2 Hg 3.05
Hg 0.8859 0.9602 0.2680  3 Cd 2.77-2.96, 2 Hg 3.05
Hg 0.6141 0.7320 0.0398  3 Cd 2.77-2.96, 2 Hg 3.05
Hg 0.1141 0.0398 0.7320  3 Cd 2.77-2.96, 2 Hg 3.05
Hg 0.4916 0.7584 0.7584  3 Cd 2.93-3.03, 5 Hg 3.05-3.24
Hg 0.5084 0.2416 0.2416  3 Cd 2.93-3.03, 5 Hg 3.05-3.24
Hg 0.7500 0.5000 0.5000  4 Cd 2.93, 4 Hg 3.17-3.24
Hg 0.2500 0.5000 0.5000  4 Cd 2.93, 4 Hg 3.17-3.24
Hg 0.0084 0.2416 0.2416  3 Cd 2.93-3.03, 5 Hg 3.05-3.24
Hg 0.9916 0.7584 0.7584  3 Cd 2.93-3.03, 5 Hg 3.05-3.24

Calculated values
theoretical density: 8.9 g/cm³
formation energy: -0.21 eV per atom
E: -1.035 eV/atom
crystal system: orthorhombic

No. 10
CaCd4Hg6: relaxed, PBE-GGA.

Cell: 4.2192 8.8429 8.8429 Å, 120.00 90.00 90.00°
With the nearest neighbours (Å) after each atom.
Positions (direct):
Ca 0.0000 0.3333 0.6667  6 Hg 3.37
Cd 0.5000 0.5598 0.4727  6 Hg 2.93-3.02, 2 Cd 3.28
Cd 0.5000 0.9129 0.4402  6 Hg 2.93-3.02, 2 Cd 3.28
Cd 0.0000 0.0000 0.0000  3 Hg 2.87
Cd 0.5000 0.5273 0.0871  6 Hg 2.93-3.02, 2 Cd 3.28
Hg 0.5000 0.1539 0.8303  4 Cd 2.93-3.25, 2 Hg 3.27
Hg 0.5000 0.1697 0.3235  4 Cd 2.93-3.25, 2 Hg 3.27
Hg 0.0000 0.8313 0.6254  5 Cd 2.87-2.97
Hg 0.0000 0.3746 0.2059  5 Cd 2.87-2.97
Hg 0.0000 0.7941 0.1687  5 Cd 2.87-2.97
Hg 0.5000 0.6765 0.8461  4 Cd 2.93-3.25, 2 Hg 3.27

Calculated values
ΔE to the lowest computed polymorph: 0 meV per atom
theoretical density: 9.8 g/cm³
formation energy: -0.08 eV per atom
E: -0.762 eV/atom
crystal system: hexagonal